Entry 1:
A plane-wave DFT calculation with GGA-PBE was carried out for a geometry-optimized PrNd2MgHg4 structure.

Properties
Symmetry = R-3m, No. 166
Fermi-level density of states = 0.81 states/eV/atom
E_form = -0.4507 eV per atom

Geometry as POSCAR:
```
PrNd2MgHg4
1.0
5.254 0.000 0.000
2.627 4.550 0.000
2.627 1.517 9.017
Hg Nd Pr Mg
4 2 1 1
Direct
0.126 0.126 0.623
0.623 0.623 0.130
0.377 0.377 0.870
0.874 0.874 0.377
0.242 0.242 0.273
0.758 0.758 0.727
0.000 0.000 0.000
0.500 0.500 0.500
```

Entry 2:
A plane-wave DFT calculation with GGA-PBE was carried out for a geometry-optimized NdMgHgPt structure.

Properties
Symmetry = F-43m, No. 216
Fermi-level density of states = 0.53 states/eV/atom
E_form = -0.6513 eV per atom

Geometry as POSCAR:
```
NdMgHgPt
1.0
-2.406 4.348 0.693
-4.801 0.460 -1.385
-3.594 0.351 3.484
Hg Pt Mg Nd
1 1 1 1
Direct
0.250 0.250 0.250
0.750 0.750 0.750
0.000 0.000 0.000
0.500 0.500 0.500
```

Entry 3:
A plane-wave DFT calculation with GGA-PBE was carried out for a geometry-optimized NdPuMgHg structure.

Properties
Symmetry = F-43m, No. 216
Fermi-level density of states = 2.84 states/eV/atom
E_form = -0.0640 eV per atom

Geometry as POSCAR:
```
NdPuMgHg
1.0
-0.840 -0.419 -5.320
-1.119 -4.811 -2.187
-4.960 -1.025 -1.879
Mg Hg Nd Pu
1 1 1 1
Direct
0.000 0.000 0.000
0.500 0.500 0.500
0.750 0.750 0.750
0.250 0.250 0.250
```